The following is a DFT calculation (PBE) of an optimized crystal structure of CaSbPt2.

Cell and atoms, written as POSCAR:
```
CaSbPt2
1.0
3.8441 0.0000 0.0000
0.0000 3.8441 0.0000
0.0000 0.0000 5.7519
Ca Sb Pt
1 1 2
Direct
0.0000 0.0000 0.0000 Ca
0.5000 0.5000 0.6328 Sb
0.0000 0.0000 0.5056 Pt
0.5000 0.5000 0.1703 Pt
```

energy relative to the elements, uncorrected = -2.2 eV/f.u.
electronic total energy = -5.09 eV per atom